Record 1
Entry from Alexandria via LeMat-Bulk: a relaxed structure of Mg2ZrOs (PBE-GGA). Values from VASP.

## Properties
DOS at the Fermi energy, states/eV per atom: 0.853
Polymorph energy (0 for the lowest one), meV per atom: 312
Total energy, Ry per atom: -0.4063
Energy of formation, eV per atom: 0.214
Space-group type: No. 166

Structure (Quantum ESPRESSO input):
```
&SYSTEM
  ibrav = 0, nat = 4, ntyp = 3
/
ATOMIC_SPECIES
Mg 24.30 Mg.upf
Zr 91.22 Zr.upf
Os 190.23 Os.upf
CELL_PARAMETERS angstrom
10.090 0.012 0.007
9.661 2.910 0.007
9.661 1.429 2.535
ATOMIC_POSITIONS angstrom
Mg 29.126 4.309 2.524
Mg 14.994 2.218 1.299
Zr 22.060 3.264 1.912
Os 7.353 1.088 0.637
```

***

Record 2
Entry from Alexandria via LeMat-Bulk: a relaxed structure of Mg3Zr12Os5 (PBE-GGA). Values from VASP.

## Properties
DOS at the Fermi energy, states/eV per atom: 1.317
Total energy, Ry per atom: -0.5533
Energy of formation, eV per atom: 0.648
Space-group type: No. 230

Structure (Quantum ESPRESSO input):
```
&SYSTEM
  ibrav = 0, nat = 80, ntyp = 3
/
ATOMIC_SPECIES
Mg 24.30 Mg.upf
Os 190.23 Os.upf
Zr 91.22 Zr.upf
CELL_PARAMETERS angstrom
-10.436 7.918 -4.854
-3.645 -5.460 12.332
11.451 7.846 1.582
ATOMIC_POSITIONS angstrom
Mg -6.725 8.208 -2.311
Mg 5.133 5.432 7.878
Mg 7.804 6.490 3.861
Mg 0.699 8.786 2.777
Mg 0.510 3.778 8.418
Mg 1.229 4.239 0.921
Mg -10.434 3.814 5.200
Mg -3.329 1.518 6.283
Mg -7.763 4.872 1.182
Mg -3.140 6.526 0.642
Mg 4.095 2.097 11.371
Mg -3.860 6.065 8.139
Os 5.725 3.923 0.791
Os 0.256 -0.163 9.236
Os 3.181 4.836 4.400
Os -1.315 5.152 4.530
Os -1.822 -2.730 6.166
Os 0.507 7.882 -1.636
Os -6.849 2.133 8.152
Os 1.737 12.121 -0.715
Os 3.903 1.193 6.957
Os 0.763 7.719 7.600
Os 4.219 8.171 0.908
Os -7.041 1.229 3.739
Os -5.218 3.959 -2.427
Os -2.822 9.401 4.647
Os -3.393 2.585 1.460
Os 0.191 0.904 4.413
Os 0.000 0.000 0.000
Os -5.811 5.469 4.660
Os -4.367 -1.817 9.775
Os -2.886 10.467 -0.176
Zr 4.954 6.564 4.931
Zr 0.070 -1.290 11.496
Zr -6.463 6.973 6.590
Zr 4.781 5.040 10.996
Zr -1.060 6.091 6.940
Zr 2.334 1.269 9.027
Zr -8.617 3.873 7.643
Zr -5.560 6.732 2.480
Zr -0.761 5.687 -1.064
Zr 0.177 13.701 -1.933
Zr -1.789 -0.664 4.590
Zr -3.440 8.876 7.046
Zr -0.841 10.968 4.470
Zr -8.119 7.819 0.501
Zr -11.564 1.821 7.378
Zr -7.584 3.740 4.129
Zr 1.551 3.972 11.273
Zr -1.869 4.617 10.124
Zr -4.181 6.332 -2.213
Zr 0.810 1.428 2.014
Zr 8.934 8.483 1.682
Zr 0.955 11.598 1.636
Zr -0.572 2.951 5.694
Zr -1.625 1.478 8.807
Zr 5.489 2.485 8.559
Zr -4.468 1.461 3.459
Zr 1.008 5.875 3.618
Zr -4.965 9.036 0.033
Zr 5.987 6.431 1.417
Zr 3.832 3.331 2.470
Zr -2.807 -3.397 10.993
Zr -2.701 11.595 -2.436
Zr -6.361 0.629 6.174
Zr 7.562 4.493 6.301
Zr 2.929 3.572 6.580
Zr 2.389 6.275 8.897
Zr -1.570 4.213 2.121
Zr 3.731 9.675 2.886
Zr -7.411 5.264 -1.936
Zr -10.193 5.811 2.759
Zr -2.058 7.353 3.366
Zr -4.593 3.158 8.673
Zr -5.019 4.029 0.163
Zr -3.638 4.429 5.442
Zr 1.837 8.844 5.601
Zr 1.963 7.146 0.387
Zr -3.585 -1.293 7.424
Zr -1.005 8.827 0.254
```

***

Record 3
Entry from Alexandria via LeMat-Bulk: a relaxed structure of Mg2ZrOs (PBE-GGA). Values from VASP.

## Properties
DOS at the Fermi energy, states/eV per atom: 0.558
Polymorph energy (0 for the lowest one), meV per atom: 393
Total energy, Ry per atom: -0.4004
Energy of formation, eV per atom: 0.295
Space-group type: No. 122

Structure (Quantum ESPRESSO input):
```
&SYSTEM
  ibrav = 0, nat = 8, ntyp = 3
/
ATOMIC_SPECIES
Mg 24.30 Mg.upf
Zr 91.22 Zr.upf
Os 190.23 Os.upf
CELL_PARAMETERS angstrom
3.915 0.000 0.000
0.000 3.915 0.000
1.957 1.957 10.314
ATOMIC_POSITIONS angstrom
Mg 4.894 4.965 7.735
Mg 0.907 2.936 2.578
Mg 2.936 2.865 7.735
Mg 3.008 0.979 2.578
Zr 1.957 1.957 0.000
Zr 1.957 3.915 5.157
Os 3.915 1.957 5.157
Os 0.000 0.000 0.000
```

***

Record 4
Entry from Alexandria via LeMat-Bulk: a relaxed structure of MgZr2Os (PBE-GGA). Values from VASP.

## Properties
DOS at the Fermi energy, states/eV per atom: 0.979
Total energy, Ry per atom: -0.5598
Energy of formation, eV per atom: -0.136
Space-group type: No. 44

Structure (Quantum ESPRESSO input):
```
&SYSTEM
  ibrav = 0, nat = 4, ntyp = 3
/
ATOMIC_SPECIES
Zr 91.22 Zr.upf
Mg 24.30 Mg.upf
Os 190.23 Os.upf
CELL_PARAMETERS angstrom
-3.581 -2.280 -3.959
-1.279 -4.606 -3.292
-3.367 -2.810 1.818
ATOMIC_POSITIONS angstrom
Zr -3.420 -2.953 1.500
Zr -2.063 -2.441 -1.395
Mg -4.065 -4.715 -2.417
Os -6.160 -7.246 -4.019
```

***

Record 5
Entry from Alexandria via LeMat-Bulk: a relaxed structure of MgZr2Os (PBE-GGA). Values from VASP.

## Properties
DOS at the Fermi energy, states/eV per atom: 0.256
Total energy, Ry per atom: -0.5643
Energy of formation, eV per atom: -0.198
Space-group type: No. 123

Structure (Quantum ESPRESSO input):
```
&SYSTEM
  ibrav = 0, nat = 4, ntyp = 3
/
ATOMIC_SPECIES
Zr 91.22 Zr.upf
Os 190.23 Os.upf
Mg 24.30 Mg.upf
CELL_PARAMETERS angstrom
-3.091 -1.296 0.437
0.865 -0.496 4.647
-1.717 4.361 0.786
ATOMIC_POSITIONS angstrom
Zr -0.859 2.181 0.393
Zr 0.433 -0.248 2.323
Os -1.545 -0.648 0.219
Mg -1.971 1.284 2.935
```

***

Record 6
Entry from Alexandria via LeMat-Bulk: a relaxed structure of Mg7P (PBE-GGA). Values from VASP.

## Properties
DOS at the Fermi energy, states/eV per atom: 0.426
Total energy, Ry per atom: -0.1552
Energy of formation, eV per atom: -0.041
Space-group type: No. 225

Structure (Quantum ESPRESSO input):
```
&SYSTEM
  ibrav = 0, nat = 8, ntyp = 2
/
ATOMIC_SPECIES
Mg 24.30 Mg.upf
P 30.97 P.upf
CELL_PARAMETERS angstrom
0.000 4.377 4.377
4.377 0.000 4.377
4.377 4.377 0.000
ATOMIC_POSITIONS angstrom
Mg 0.000 2.189 2.189
Mg 4.377 2.189 2.189
Mg 2.189 2.189 0.000
Mg 2.189 0.000 2.189
Mg 2.189 4.377 2.189
Mg 2.189 2.189 4.377
Mg 4.377 4.377 4.377
P 0.000 0.000 0.000
```

***

- Which value of total energy does entry 1 give?
  -0.4063 Ry per atom